The following is a DFT calculation (PBE-GGA) of an optimized crystal structure of Fe2Co7Ni2.

Values from the calculation:
E_form, eV/atom: 0.191
Magnetization, μB per formula unit: 18.639
DFT total energy, eV/atom: -6.92

abc: 7.4927 8.2314 4.7014
angles: 90.00 117.53 90.00
Last column: nearest neighbours and their distance in Å.
Space group C2/m (No. 12)
Inequivalent atoms, fractional coordinates:
Fe 0.0000 0.1507 0.0000 x4  4 Co 2.36-2.51, 1 Fe 2.48
Co 0.0000 0.0000 0.5000 x2  6 Co 2.33-2.47, 2 Ni 2.54
Co 0.1599 0.5000 0.4628 x4  3 Ni 2.32-2.40, 4 Co 2.33-2.58
Co 0.1744 0.2436 0.6840 x8  4 Co 2.33-2.47, 2 Fe 2.36-2.51, 2 Ni 2.48-2.53
Ni 0.1732 0.5000 0.9793 x4  8 Co 2.32-2.54